Eu2AlIn | PBE | optimized geometry

As for the raw total energy: -7.09 eV per atom. The volume is 116 Å³ per cell. As for the crystal system: tetragonal. For the distance to the lowest polymorph of the same formula, the calculation gives 0.0000 eV per atom. The calculation puts the energy relative to the elements at -333 meV/atom.

The structure belongs to space group P4/mmm (No. 123); the cell edges are 3.841, 3.841 and 7.843 Å and the angles 90.00°, 90.00° and 90.00°. Symmetry generates all atoms from Eu at (0.000, 0.000, 0.237), Al at (0.500, 0.500, 0.000) and In at (0.500, 0.500, 0.500).

---

EuAl4In | PBE | optimized geometry

As for the raw total energy: -4.78 eV per atom. The volume is 512 Å³ per cell. As for the crystal system: cubic. The calculation puts the energy relative to the elements at -118 meV/atom.

The structure belongs to space group F-43m (No. 216); the cell edges are 8.000, 8.000 and 8.000 Å and the angles 90.00°, 90.00° and 90.00°. Symmetry generates all atoms from Eu at (0.000, 0.000, 0.000), Al at (0.126, 0.126, 0.626) and In at (0.250, 0.250, 0.250).

---

> Look up the raw total energy of the second one.

-4.78 eV per atom

---

Copy entry 2 word for word.
EuAl4In | PBE | optimized geometry

As for the raw total energy: -4.78 eV per atom. The volume is 512 Å³ per cell. As for the crystal system: cubic. The calculation puts the energy relative to the elements at -118 meV/atom.

The structure belongs to space group F-43m (No. 216); the cell edges are 8.000, 8.000 and 8.000 Å and the angles 90.00°, 90.00° and 90.00°. Symmetry generates all atoms from Eu at (0.000, 0.000, 0.000), Al at (0.126, 0.126, 0.626) and In at (0.250, 0.250, 0.250).

---

> raw total energy of number 2 (EuAl4In)?

-4.78 eV per atom

---

> Which value of raw total energy does entry 1 give?

-7.09 eV per atom